5
Lattice="-2.1708 2.5223 1.7993 -1.2434 1.3008 -3.3277 -2.0671 -5.0819 0.8369" Properties=species:S:1:pos:R:3 comment="TaAlN2O, relaxed, DFT PBE" energy_ev_per_atom=-9.055 sg="No. 8" density_g_cm3=5.9 pbc="T T T"
N -4.3002 -1.4355 0.9547
N -3.8384 -2.0437 -1.5979
Al -2.7699 -2.2957 0.0460
O -1.4183 -1.1727 0.0229
Ta -0.0070 0.0016 -0.0016

***

8
Lattice="3.0621 0.0000 0.0000 0.0000 5.1376 0.0000 0.0000 0.0000 5.9271" Properties=species:S:1:pos:R:3 comment="TaAlNO, relaxed, DFT PBE" energy_ev_per_atom=-8.567 sg="No. 26" density_g_cm3=8.5 pbc="T T T"
Ta 1.5310 4.8488 0.5618
Ta 1.5310 2.2800 5.3652
Al 0.0000 2.7205 2.1846
Al 0.0000 0.1516 3.7424
O 1.5310 1.9693 1.5655
O 1.5310 4.5381 4.3616
N 0.0000 4.6105 1.9980
N 0.0000 2.0417 3.9290

***

8
Lattice="3.4754 0.0000 0.0000 0.0000 3.4754 0.0000 0.0000 0.0000 7.1387" Properties=species:S:1:pos:R:3 comment="TaAlNO, relaxed, DFT PBE" energy_ev_per_atom=-7.755 sg="No. 129" density_g_cm3=9.2 pbc="T T T"
Ta 0.0000 1.7377 1.2105
Ta 1.7377 0.0000 5.9282
Al 1.7377 1.7377 3.5694
Al 0.0000 0.0000 3.5694
O 0.0000 0.0000 0.0000
O 1.7377 1.7377 0.0000
N 0.0000 1.7377 4.9057
N 1.7377 0.0000 2.2331

***

16
Lattice="-1.2509 4.8219 -1.3613 -3.9021 -1.8407 -2.9342 -4.2034 0.4144 5.3301" Properties=species:S:1:pos:R:3 comment="TaAlNO, relaxed, DFT PBE" energy_ev_per_atom=-8.545 sg="No. 29" density_g_cm3=8.6 pbc="T T T"
O -3.6193 2.8789 1.9939
O -4.8598 1.8885 -0.3742
O -5.3331 -1.0407 -0.5197
O -4.0926 -0.0504 1.8484
Al -5.7138 0.6045 -1.4447
Al -4.9047 3.6921 -1.0467
Al -4.9547 1.6423 1.5338
Al -4.1456 4.7300 1.9319
Ta -5.8917 -0.5573 3.2992
Ta -0.4880 0.0227 0.3883
Ta -2.8572 1.6111 -1.6035
Ta -8.2609 1.0311 1.3074
N -6.6727 2.3277 1.5320
N -6.9532 -0.5105 1.5315
N -2.1672 2.9963 -0.2401
N -2.4477 0.1580 -0.2406